# 1
VASP calculation (PBE-GGA) on a geometry-optimized CsTl2SbBr8 structure.

Results
Uncorrected energy, eV/cell: -32.4
ΔE_f (raw), kJ per mole of atoms: -74.7
Magnetization, μB/cell: 0.00

Unit cell a=6.9168 b=7.8652 c=9.7815 alpha=88.53 beta=79.00 gamma=103.65
Closest atoms and distances in Å follow each position.
Positions (direct):
Cs (0.0000, 0.0000, 0.5000)  8 Br 3.71-4.07
Tl (0.4850, 0.4363, 0.7441)  3 Br 3.12-3.31
Tl (0.5150, 0.5637, 0.2559)  3 Br 3.12-3.31
Sb (0.0000, 0.0000, 0.0000)  6 Br 2.61-2.72
Br (0.0124, 0.7347, 0.1795)  1 Sb 2.72
Br (0.6667, 0.8026, 0.9310)  1 Sb 2.67
Br (0.7811, 0.1206, 0.2046)  1 Sb 2.61
Br (0.9876, 0.2653, 0.8205)  1 Sb 2.72
Br (0.3333, 0.1974, 0.0690)  1 Sb 2.67
Br (0.2189, 0.8794, 0.7954)  1 Sb 2.61
Br (0.4250, 0.7321, 0.5386)  1 Br 3.04, 2 Tl 3.12-3.19
Br (0.5750, 0.2679, 0.4614)  1 Br 3.04, 2 Tl 3.12-3.19



# 2
VASP calculation (PBE-GGA) on a geometry-optimized La4ThPb structure.

Results
Uncorrected energy, eV/cell: -62.6
Formation energy from the elements, eV per atom: -0.0785
Magnetization, μB/cell: 0.00

Unit cell a=3.6225 b=9.7829 c=11.8823 alpha=90.00 beta=98.77 gamma=90.00
Closest atoms and distances in Å follow each position.
Positions (direct):
La (0.3345, 0.0396, 0.6689)  3 Th 3.35-3.61, 2 Pb 3.56, 2 La 3.62
La (0.6655, 0.5396, 0.3311)  3 Th 3.35-3.61, 2 Pb 3.56, 2 La 3.62
La (0.3345, 0.4604, 0.6689)  3 Th 3.35-3.61, 2 Pb 3.56, 2 La 3.62
La (0.6655, 0.9604, 0.3311)  3 Th 3.35-3.61, 2 Pb 3.56, 2 La 3.62
La (0.9155, 0.7500, 0.8309)  1 Th 3.23, 1 Pb 3.61
La (0.0845, 0.2500, 0.1691)  1 Th 3.23, 1 Pb 3.61
La (0.5000, 0.0000, 0.0000)  4 Pb 3.45, 6 La 3.62-3.63
La (0.5000, 0.5000, 0.0000)  4 Pb 3.45, 6 La 3.62-3.63
Th (0.7780, 0.7500, 0.5561)  7 La 3.23-3.61
Th (0.2220, 0.2500, 0.4439)  7 La 3.23-3.61
Pb (0.0692, 0.7500, 0.1384)  9 La 3.45-3.61, 2 Pb 3.62
Pb (0.9308, 0.2500, 0.8616)  9 La 3.45-3.61, 2 Pb 3.62



Question: Which of these has the lowest uncorrected energy?
Answer: La4ThPb



Question: Which of these has the lowest uncorrected energy?
Answer: La4ThPb



Repeat the second record exactly.
VASP calculation (PBE-GGA) on a geometry-optimized La4ThPb structure.

Results
Uncorrected energy, eV/cell: -62.6
Formation energy from the elements, eV per atom: -0.0785
Magnetization, μB/cell: 0.00

Unit cell a=3.6225 b=9.7829 c=11.8823 alpha=90.00 beta=98.77 gamma=90.00
Closest atoms and distances in Å follow each position.
Positions (direct):
La (0.3345, 0.0396, 0.6689)  3 Th 3.35-3.61, 2 Pb 3.56, 2 La 3.62
La (0.6655, 0.5396, 0.3311)  3 Th 3.35-3.61, 2 Pb 3.56, 2 La 3.62
La (0.3345, 0.4604, 0.6689)  3 Th 3.35-3.61, 2 Pb 3.56, 2 La 3.62
La (0.6655, 0.9604, 0.3311)  3 Th 3.35-3.61, 2 Pb 3.56, 2 La 3.62
La (0.9155, 0.7500, 0.8309)  1 Th 3.23, 1 Pb 3.61
La (0.0845, 0.2500, 0.1691)  1 Th 3.23, 1 Pb 3.61
La (0.5000, 0.0000, 0.0000)  4 Pb 3.45, 6 La 3.62-3.63
La (0.5000, 0.5000, 0.0000)  4 Pb 3.45, 6 La 3.62-3.63
Th (0.7780, 0.7500, 0.5561)  7 La 3.23-3.61
Th (0.2220, 0.2500, 0.4439)  7 La 3.23-3.61
Pb (0.0692, 0.7500, 0.1384)  9 La 3.45-3.61, 2 Pb 3.62
Pb (0.9308, 0.2500, 0.8616)  9 La 3.45-3.61, 2 Pb 3.62



Question: Look up the uncorrected energy of the first one.
Answer: -32.4 eV/cell